The following is a DFT calculation (PBE) of a geometry-optimized CsAs2OsO structure.

Results
crystal system = tetragonal
Fermi-level density of states = 9.67 states/eV/cell
uncorrected energy = -2.11 eV/atom
magnetic moment = 0.81 μB/atom
mass density = 4.6 g/cm³
formation energy from raw total energies = 3.156 eV per atom
symmetry = P4/mmm (123)

abc: 5.737 5.737 5.405
angles: 90.00 90.00 90.00
Positions (direct):
Cs  0.000  0.000  0.000
As  0.000  0.500  0.000
As  0.500  0.000  0.000
Os  0.000  0.000  0.500
O  0.500  0.500  0.500

The following is a DFT calculation (PBE) of a geometry-optimized Y2CSe structure.

Results
crystal system = cubic
Fermi-level density of states = 1.17 states/eV/cell
uncorrected energy = -6.67 eV/atom
magnetic moment = 0.00 μB/atom
mass density = 5.8 g/cm³
formation energy from raw total energies = -0.263 eV per atom
symmetry = Fm-3m (225)

abc: 4.766 4.766 4.766
angles: 60.00 60.00 60.00
Positions (direct):
Y  0.250  0.250  0.250
Y  0.750  0.750  0.750
C  0.000  0.000  0.000
Se  0.500  0.500  0.500

The following is a DFT calculation (PBE) of a geometry-optimized Ce2PrSc3As6 structure.

Results
crystal system = monoclinic
Fermi-level density of states = 11.42 states/eV/cell
formation energy from the elements = -1.394 eV/atom
uncorrected energy = -6.69 eV/atom
magnetic moment = 0.09 μB/atom
mass density = 5.9 g/cm³
symmetry = C2/m (12)

abc: 7.066 7.066 6.993
angles: 99.69 99.69 119.99
Positions (direct):
Ce  0.167  0.833  0.000
Ce  0.833  0.167  0.000
Pr  0.500  0.500  0.000
Sc  0.000  0.000  0.500
Sc  0.335  0.665  0.500
Sc  0.665  0.335  0.500
As  0.071  0.410  0.729
As  0.252  0.252  0.272
As  0.410  0.071  0.729
As  0.590  0.929  0.271
As  0.748  0.748  0.728
As  0.929  0.590  0.271

The following is a DFT calculation (PBE) of a geometry-optimized LiDyCdSn structure.

Results
crystal system = orthorhombic
Fermi-level density of states = 1.51 states/eV/cell
formation energy from the elements = -0.447 eV/atom
uncorrected energy = -3.31 eV/atom
magnetic moment = 0.00 μB/atom
mass density = 7.1 g/cm³
symmetry = Pmmm (47)

abc: 4.239 4.562 4.855
angles: 90.00 90.00 90.00
Positions (direct):
Li  0.000  0.000  0.000
Dy  0.000  0.500  0.500
Cd  0.500  0.500  0.000
Sn  0.500  0.000  0.500

The following is a DFT calculation (PBE) of a geometry-optimized Ca3PtPb structure.

Results
crystal system = cubic
Fermi-level density of states = 3.00 states/eV/cell
formation energy from the elements = -0.562 eV/atom
uncorrected energy = -3.71 eV/atom
magnetic moment = 0.00 μB/atom
mass density = 5.2 g/cm³
symmetry = Pm-3m (221)

abc: 5.498 5.498 5.498
angles: 90.00 90.00 90.00
Positions (direct):
Ca  0.000  0.000  0.500
Ca  0.000  0.500  0.000
Ca  0.500  0.000  0.000
Pt  0.000  0.000  0.000
Pb  0.500  0.500  0.500

The following is a DFT calculation (PBE) of a geometry-optimized PmPRh2 structure.

Results
crystal system = orthorhombic
Fermi-level density of states = 3.03 states/eV/cell
formation energy from the elements = -0.591 eV/atom
uncorrected energy = -6.81 eV/atom
magnetic moment = 0.00 μB/atom
mass density = 8.3 g/cm³
symmetry = Cmmm (65)

abc: 4.710 4.710 3.636
angles: 90.00 90.00 107.84
Positions (direct):
Pm  0.000  0.000  0.000
P  0.500  0.500  0.000
Rh  0.319  0.681  0.500
Rh  0.681  0.319  0.500

The following is a DFT calculation (PBE) of a geometry-optimized SrTlOs2 structure.

Results
crystal system = tetragonal
Fermi-level density of states = 4.20 states/eV/cell
formation energy from the elements = 1.206 eV/atom
uncorrected energy = -5.42 eV/atom
magnetic moment = 0.59 μB/atom
mass density = 13.5 g/cm³
symmetry = I4/mmm (139)

abc: 5.456 5.456 5.456
angles: 134.07 134.07 66.97
Positions (direct):
Sr  0.000  0.000  0.000
Tl  0.500  0.500  0.000
Os  0.250  0.750  0.500
Os  0.750  0.250  0.500

The following is a DFT calculation (PBE) of a geometry-optimized V8GaH2 structure.

Results
crystal system = monoclinic
Fermi-level density of states = 12.04 states/eV/cell
uncorrected energy = -7.43 eV/atom
magnetic moment = 0.00 μB/atom
mass density = 6.1 g/cm³
symmetry = C2/m (12)

abc: 6.310 6.310 3.771
angles: 94.13 94.13 118.80
Positions (direct):
V  0.090  0.351  0.559
V  0.243  0.757  0.000
V  0.351  0.090  0.559
V  0.395  0.395  0.173
V  0.605  0.605  0.827
V  0.649  0.910  0.441
V  0.757  0.243  0.000
V  0.910  0.649  0.441
Ga  0.000  0.000  0.000
H  0.253  0.747  0.500
H  0.747  0.253  0.500

The following is a DFT calculation (PBE) of a geometry-optimized Sc4SnRh structure.

Results
crystal system = monoclinic
Fermi-level density of states = 10.05 states/eV/cell
formation energy from the elements = -0.388 eV/atom
uncorrected energy = -6.50 eV/atom
magnetic moment = 0.00 μB/atom
mass density = 4.5 g/cm³
symmetry = P2_1/c (14)

abc: 7.328 6.450 6.273
angles: 90.00 91.74 90.00
Positions (direct):
Sc  0.140  0.152  0.347
Sc  0.140  0.348  0.847
Sc  0.292  0.650  0.351
Sc  0.292  0.850  0.851
Sc  0.708  0.150  0.149
Sc  0.708  0.350  0.649
Sc  0.860  0.652  0.153
Sc  0.860  0.848  0.653
Sn  0.500  0.000  0.500
Sn  0.500  0.500  0.000
Rh  0.000  0.000  0.000
Rh  0.000  0.500  0.500

The following is a DFT calculation (PBE) of a geometry-optimized MgMo2Pt structure.

Results
crystal system = tetragonal
Fermi-level density of states = 2.26 states/eV/cell
formation energy from the elements = -0.141 eV/atom
uncorrected energy = -7.47 eV/atom
magnetic moment = 0.00 μB/atom
mass density = 10.8 g/cm³
symmetry = I4/mmm (139)

abc: 5.205 5.205 5.205
angles: 137.69 137.69 61.37
Positions (direct):
Mg  0.000  0.000  0.000
Mo  0.250  0.750  0.500
Mo  0.750  0.250  0.500
Pt  0.500  0.500  0.000

The following is a DFT calculation (PBE) of a geometry-optimized BaLiIN2 structure.

Results
crystal system = tetragonal
Fermi-level density of states = 2.30 states/eV/cell
uncorrected energy = -3.77 eV/atom
magnetic moment = 0.80 μB/atom
mass density = 4.3 g/cm³
formation energy from raw total energies = 0.633 eV per atom
symmetry = P4/mmm (123)

abc: 4.768 4.768 5.062
angles: 90.00 90.00 90.00
Positions (direct):
Ba  0.000  0.000  0.000
Li  0.500  0.500  0.500
I  0.500  0.500  0.000
N  0.000  0.500  0.500
N  0.500  0.000  0.500

The following is a DFT calculation (PBE) of a geometry-optimized Rb2TlBi2 structure.

Results
crystal system = tetragonal
Fermi-level density of states = 5.74 states/eV/cell
formation energy from the elements = 0.014 eV/atom
uncorrected energy = -2.40 eV/atom
magnetic moment = 0.00 μB/atom
mass density = 5.5 g/cm³
symmetry = I4/mmm (139)

abc: 8.650 8.650 8.650
angles: 142.21 142.21 54.51
Positions (direct):
Rb  0.250  0.750  0.500
Rb  0.750  0.250  0.500
Tl  0.000  0.000  0.000
Bi  0.408  0.408  0.000
Bi  0.592  0.592  0.000

The following is a DFT calculation (PBE) of a geometry-optimized NaLa2Ru2 structure.

Results
crystal system = tetragonal
Fermi-level density of states = 9.30 states/eV/cell
formation energy from the elements = 0.177 eV/atom
uncorrected energy = -5.77 eV/atom
magnetic moment = 0.00 μB/atom
mass density = 7.0 g/cm³
symmetry = P4/mbm (127)

abc: 8.398 8.398 3.376
angles: 90.00 90.00 90.00
Positions (direct):
Na  0.000  0.000  0.000
Na  0.500  0.500  0.000
La  0.150  0.350  0.000
La  0.350  0.850  0.000
La  0.650  0.150  0.000
La  0.850  0.650  0.000
Ru  0.135  0.635  0.500
Ru  0.365  0.135  0.500
Ru  0.635  0.865  0.500
Ru  0.865  0.365  0.500

The following is a DFT calculation (PBE) of a geometry-optimized TbYTe2 structure.

Results
crystal system = trigonal
Fermi-level density of states = 2.29 states/eV/cell
uncorrected energy = -5.65 eV/atom
magnetic moment = 0.00 μB/atom
mass density = 7.1 g/cm³
formation energy from raw total energies = -1.310 eV per atom
symmetry = R-3m (166)

abc: 7.532 7.532 7.532
angles: 33.82 33.82 33.82
Positions (direct):
Tb  0.000  0.000  0.000
Y  0.500  0.500  0.500
Te  0.250  0.250  0.250
Te  0.750  0.750  0.750

The following is a DFT calculation (PBE) of a geometry-optimized CaLaIn structure.

Results
crystal system = monoclinic
Fermi-level density of states = 2.42 states/eV/cell
formation energy from the elements = -0.350 eV/atom
uncorrected energy = -3.57 eV/atom
magnetic moment = 0.00 μB/atom
mass density = 4.9 g/cm³
symmetry = C2/m (12)

abc: 6.493 6.493 7.017
angles: 115.66 115.66 49.32
Positions (direct):
Ca  0.187  0.187  0.127
Ca  0.813  0.813  0.873
La  0.453  0.453  0.692
La  0.547  0.547  0.308
In  0.147  0.147  0.624
In  0.853  0.853  0.376

The following is a DFT calculation (PBE) of a geometry-optimized Na2Hf2Sb2N structure.

Results
crystal system = tetragonal
Fermi-level density of states = 2.92 states/eV/cell
uncorrected energy = -6.39 eV/atom
magnetic moment = 0.00 μB/atom
mass density = 6.8 g/cm³
formation energy from raw total energies = -0.798 eV per atom
symmetry = I4/mmm (139)

abc: 8.801 8.801 8.801
angles: 150.97 150.97 41.52
Positions (direct):
Na  0.175  0.175  0.000
Na  0.825  0.825  0.000
Hf  0.000  0.500  0.500
Hf  0.500  0.000  0.500
Sb  0.373  0.373  0.000
Sb  0.627  0.627  0.000
N  0.000  0.000  0.000